# CoSb2O6

A relaxed structure of CoSb2O6 (PBE+U, Alexandria).

Unit cell a=4.5096 b=8.8554 c=8.8554 alpha=120.00 beta=90.00 gamma=90.00
Site moments in Bohr magnetons follow the coordinates.
Positions (direct):
Co 0.4959 0.3333 0.6667  2.72
Co 0.0000 0.0000 0.0000  2.73
Co 0.5041 0.6667 0.3333  2.72
Sb 0.0000 0.6496 0.6496  0.01
Sb 0.5000 0.3156 0.3156  0.01
Sb 0.0000 0.0000 0.3504  0.01
Sb 0.5000 0.6844 0.0000  0.01
Sb 0.5000 0.0000 0.6844  0.01
Sb 0.0000 0.3504 0.0000  0.01
O 0.2371 0.7728 0.8777  0.04
O 0.7387 0.5608 0.7775  0.04
O 0.2542 0.4342 0.5404  0.04
O 0.2542 0.4596 0.8939  0.04
O 0.7387 0.2167 0.4392  0.04
O 0.2371 0.1049 0.2272  0.04
O 0.7387 0.2225 0.7833  0.04
O 0.7629 0.8951 0.1223  0.04
O 0.2542 0.1061 0.5658  0.04
O 0.2371 0.1223 0.8951  0.04
O 0.2613 0.7833 0.2225  0.04
O 0.7458 0.8939 0.4596  0.04
O 0.7458 0.5658 0.1061  0.04
O 0.2613 0.7775 0.5608  0.04
O 0.7629 0.8777 0.7728  0.04
O 0.2613 0.4392 0.2167  0.04
O 0.7458 0.5404 0.4342  0.04
O 0.7629 0.2272 0.1049  0.04

Values from the calculation:
Spin magnetization = 0.339 μB per atom
Polymorph energy (0 for the lowest one) = 78 meV per atom
Crystal system = trigonal
Theoretical density = 6.481 Mg/m³